DFT (PBE-GGA) results for a geometry-optimized AlSiOs2 structure.

abc: 8.2993 2.8762 4.8469
angles: 90.00 104.33 90.00
Space group C2/m (No. 12)
Unique sites:
Al 0.0000 0.0000 0.0000 [2 per cell]
Si 0.0000 0.5000 0.5000 [2 per cell]
Os 0.2317 0.0000 0.7290 [4 per cell]

Total DFT energy (no corrections) (eV/atom): -8.074
Total magnetization (μB/f.u.): 0.00
E_form (uncorrected) (meV per atom): -167